# 1
This record from the Alexandria database describes a relaxed structure of Li4ZnSi. The functional is PBE.

Cell lengths 7.1008, 7.1008, 7.1008 Å; angles 90.00, 90.00, 90.00 degrees
Space group F-43m (No. 216)
Symmetry-distinct sites (fractional):
Li 0.1242 0.1242 0.1242 (multiplicity 16)
Zn 0.0000 0.0000 0.5000 (multiplicity 4)
Si 0.2500 0.2500 0.7500 (multiplicity 4)

Values from the calculation:
- Relative energy among the computed polymorphs: 1.83 eV/f.u.
- Total moment: 0.098 μB per atom
- DFT total energy: -2.302 eV/atom



# 2
This record from the Alexandria database describes a relaxed structure of La2ScCr. The functional is PBE.

Cell lengths 3.7341, 5.3490, 11.0700 Å; angles 90.00, 90.00, 90.00 degrees
Space group Immm (No. 71)
Symmetry-distinct sites (fractional):
La 0.0000 0.0000 0.2101 (multiplicity 4)
Sc 0.0000 0.5000 0.0000 (multiplicity 2)
Cr 0.0000 0.5000 0.5000 (multiplicity 2)

Values from the calculation:
- Relative energy among the computed polymorphs: 0.27 eV/f.u.
- Total moment: 0.762 μB per atom
- DFT total energy: -6.130 eV/atom



# 3
This record from the Alexandria database describes a relaxed structure of La3YN4. The functional is PBE.

Cell lengths 6.3805, 7.3889, 6.3789 Å; angles 90.00, 109.36, 90.00 degrees
Space group P2/c (No. 13)
Symmetry-distinct sites (fractional):
La 0.0000 0.1226 0.2500 (multiplicity 2)
La 0.0000 0.3689 0.7500 (multiplicity 2)
La 0.5000 0.3689 0.2500 (multiplicity 2)
Y 0.5000 0.1266 0.7500 (multiplicity 2)
N 0.2539 0.3564 0.5098 (multiplicity 4)
N 0.2603 0.1284 0.9957 (multiplicity 4)

Values from the calculation:
- Relative energy among the computed polymorphs: 0.00 eV/f.u.
- Total moment: 0.000 μB per atom
- DFT total energy: -8.201 eV/atom



# 4
This record from the Alexandria database describes a relaxed structure of Al5Ag7. The functional is PBE.

Cell lengths 5.6840, 5.9232, 6.3864 Å; angles 103.57, 102.28, 90.04 degrees
Space group P-1 (No. 2)
Symmetry-distinct sites (fractional):
Al 0.0000 0.0000 0.0000 (multiplicity 1)
Al 0.1777 0.1698 0.6698 (multiplicity 2)
Al 0.1800 0.6655 0.6723 (multiplicity 2)
Ag 0.0000 0.5000 0.0000 (multiplicity 1)
Ag 0.3125 0.8388 0.3443 (multiplicity 2)
Ag 0.3142 0.3330 0.3434 (multiplicity 2)
Ag 0.5000 0.0000 0.0000 (multiplicity 1)
Ag 0.5000 0.5000 0.0000 (multiplicity 1)

Values from the calculation:
- Relative energy among the computed polymorphs: 0.16 eV/f.u.
- Total moment: 0.000 μB per atom
- DFT total energy: -3.258 eV/atom



# 5
This record from the Alexandria database describes a relaxed structure of CeMnNi17. The functional is PBE.

Cell lengths 8.1973, 8.1973, 12.0334 Å; angles 90.00, 90.00, 120.00 degrees
Space group R3m (No. 160, hexagonal axes)
Symmetry-distinct sites (fractional):
Ce 0.0000 0.0000 0.0000 (multiplicity 3)
Mn 0.0000 0.0000 0.6727 (multiplicity 3)
Ni 0.0000 0.0000 0.2441 (multiplicity 3)
Ni 0.0000 0.0000 0.4439 (multiplicity 3)
Ni 0.0024 0.2994 0.3420 (multiplicity 18)
Ni 0.0039 0.5019 0.8416 (multiplicity 9)
Ni 0.0076 0.5038 0.1896 (multiplicity 9)
Ni 0.0106 0.5053 0.4944 (multiplicity 9)

Values from the calculation:
- Total moment: 0.627 μB per atom
- DFT total energy: -6.007 eV/atom



# 6
This record from the Alexandria database describes a relaxed structure of Nd5YSc. The functional is PBE.

Cell lengths 15.9929, 6.6625, 10.8739 Å; angles 90.00, 125.43, 90.00 degrees
Space group C2/c (No. 15)
Symmetry-distinct sites (fractional):
Nd 0.0000 0.0125 0.2500 (multiplicity 4)
Nd 0.0925 0.2505 0.5910 (multiplicity 8)
Nd 0.1742 0.2515 0.0904 (multiplicity 8)
Y 0.0000 0.4860 0.2500 (multiplicity 4)
Sc 0.2500 0.2500 0.5000 (multiplicity 4)

Values from the calculation:
- Relative energy among the computed polymorphs: 0.00 eV/f.u.
- Total moment: 0.000 μB per atom
- DFT total energy: -5.057 eV/atom



# 7
This record from the Alexandria database describes a relaxed structure of AlBPS2. The functional is PBE.

Cell lengths 4.4907, 4.4907, 3.7530 Å; angles 90.00, 90.00, 90.00 degrees
Space group P4/mmm (No. 123)
Symmetry-distinct sites (fractional):
Al 0.0000 0.0000 0.0000 (multiplicity 1)
B 0.5000 0.5000 0.5000 (multiplicity 1)
P 0.5000 0.5000 0.0000 (multiplicity 1)
S 0.0000 0.5000 0.5000 (multiplicity 2)

Values from the calculation:
- Relative energy among the computed polymorphs: 0.00 eV/f.u.
- Total moment: 0.000 μB per atom
- DFT total energy: -4.197 eV/atom



# 8
This record from the Alexandria database describes a relaxed structure of Sc2Tl2S. The functional is PBE.

Cell lengths 6.8285, 6.8285, 5.0246 Å; angles 90.00, 90.00, 90.00 degrees
Space group P4/mbm (No. 127)
Symmetry-distinct sites (fractional):
Sc 0.1685 0.3315 0.0000 (multiplicity 4)
Tl 0.1555 0.6555 0.5000 (multiplicity 4)
S 0.0000 0.0000 0.0000 (multiplicity 2)

Values from the calculation:
- Relative energy among the computed polymorphs: 0.48 eV/f.u.
- Total moment: 0.000 μB per atom
- DFT total energy: -5.030 eV/atom



# 9
This record from the Alexandria database describes a relaxed structure of SrZnInNi. The functional is PBE.

Cell lengths 4.3735, 4.3735, 17.2349 Å; angles 90.00, 90.00, 120.00 degrees
Space group R3m (No. 160, hexagonal axes)
Symmetry-distinct sites (fractional):
Sr 0.0000 0.0000 0.0000 (multiplicity 3)
Zn 0.0000 0.0000 0.2070 (multiplicity 3)
In 0.0000 0.0000 0.8057 (multiplicity 3)
Ni 0.0000 0.0000 0.5288 (multiplicity 3)

Values from the calculation:
- Relative energy among the computed polymorphs: 0.04 eV/f.u.
- Total moment: 0.000 μB per atom
- DFT total energy: -3.091 eV/atom



# 10
This record from the Alexandria database describes a relaxed structure of CrOs2Se. The functional is PBE.

Cell lengths 2.8542, 4.0355, 5.1966 Å; angles 90.00, 104.31, 90.00 degrees
Space group P2/m (No. 10)
Symmetry-distinct sites (fractional):
Cr 0.0000 0.0000 0.0000 (multiplicity 1)
Os 0.3679 0.5000 0.7470 (multiplicity 2)
Se 0.0000 0.0000 0.5000 (multiplicity 1)

Values from the calculation:
- Total moment: 0.223 μB per atom
- DFT total energy: -8.353 eV/atom



# 11
This record from the Alexandria database describes a relaxed structure of TmTiZn. The functional is PBE.

Cell lengths 3.1888, 3.1888, 14.2314 Å; angles 90.00, 90.00, 120.00 degrees
Space group P-6m2 (No. 187)
Symmetry-distinct sites (fractional):
Tm 0.0000 0.0000 0.1790 (multiplicity 2)
Ti 0.6667 0.3333 0.3507 (multiplicity 2)
Zn 0.0000 0.0000 0.5000 (multiplicity 1)
Zn 0.6667 0.3333 0.0000 (multiplicity 1)

Values from the calculation:
- Relative energy among the computed polymorphs: 0.28 eV/f.u.
- Total moment: 0.001 μB per atom
- DFT total energy: -4.401 eV/atom



# 12
This record from the Alexandria database describes a relaxed structure of Te3P. The functional is PBE.

Cell lengths 6.1040, 6.1040, 6.1040 Å; angles 90.00, 90.00, 90.00 degrees
Space group Im-3m (No. 229)
Symmetry-distinct sites (fractional):
Te 0.0000 0.0000 0.5000 (multiplicity 6)
P 0.0000 0.0000 0.0000 (multiplicity 2)

Values from the calculation:
- Relative energy among the computed polymorphs: 0.33 eV/f.u.
- Total moment: 0.000 μB per atom
- DFT total energy: -3.437 eV/atom



# 13
This record from the Alexandria database describes a relaxed structure of LiPaTl2. The functional is PBE.

Cell lengths 3.2393, 3.2393, 34.0745 Å; angles 90.00, 90.00, 120.00 degrees
Space group R-3m (No. 166, hexagonal axes)
Symmetry-distinct sites (fractional):
Li 0.0000 0.0000 0.0000 (multiplicity 3)
Pa 0.0000 0.0000 0.5000 (multiplicity 3)
Tl 0.0000 0.0000 0.4043 (multiplicity 6)

Values from the calculation:
- Relative energy among the computed polymorphs: 0.81 eV/f.u.
- Total moment: 0.186 μB per atom
- DFT total energy: -3.820 eV/atom



# 14
This record from the Alexandria database describes a relaxed structure of BeFe2Se. The functional is PBE.

Cell lengths 5.5258, 5.5258, 5.5258 Å; angles 90.00, 90.00, 90.00 degrees
Space group Fm-3m (No. 225)
Symmetry-distinct sites (fractional):
Be 0.0000 0.0000 0.0000 (multiplicity 4)
Fe 0.2500 0.2500 0.2500 (multiplicity 8)
Se 0.0000 0.0000 0.5000 (multiplicity 4)

Values from the calculation:
- Total moment: 0.000 μB per atom
- DFT total energy: -5.878 eV/atom



# 15
This record from the Alexandria database describes a relaxed structure of Ac8Zn2In. The functional is PBE.

Cell lengths 19.6249, 5.5320, 8.1784 Å; angles 90.00, 111.10, 90.00 degrees
Space group C2/m (No. 12)
Symmetry-distinct sites (fractional):
Ac 0.0341 0.0000 0.2695 (multiplicity 4)
Ac 0.0921 0.5000 0.9662 (multiplicity 4)
Ac 0.1759 0.5000 0.4764 (multiplicity 4)
Ac 0.1930 0.0000 0.8071 (multiplicity 4)
Zn 0.1829 0.0000 0.1846 (multiplicity 4)
In 0.0000 0.5000 0.5000 (multiplicity 2)

Values from the calculation:
- Relative energy among the computed polymorphs: 0.03 eV/f.u.
- Total moment: 0.000 μB per atom
- DFT total energy: -3.583 eV/atom



# 16
This record from the Alexandria database describes a relaxed structure of UB2Rh. The functional is PBE.

Cell lengths 3.6974, 3.6974, 13.0714 Å; angles 90.00, 90.00, 120.00 degrees
Space group R-3m (No. 166, hexagonal axes)
Symmetry-distinct sites (fractional):
U 0.0000 0.0000 0.0000 (multiplicity 3)
B 0.0000 0.0000 0.2177 (multiplicity 6)
Rh 0.0000 0.0000 0.5000 (multiplicity 3)

Values from the calculation:
- Total moment: 0.000 μB per atom
- DFT total energy: -8.201 eV/atom



# 17
This record from the Alexandria database describes a relaxed structure of Hf2ScP. The functional is PBE.

Cell lengths 3.5254, 10.6457, 8.3558 Å; angles 90.00, 90.00, 90.00 degrees
Space group Cmcm (No. 63)
Symmetry-distinct sites (fractional):
Hf 0.0000 0.1391 0.0459 (multiplicity 8)
Sc 0.0000 0.4347 0.2500 (multiplicity 4)
P 0.0000 0.2635 0.7500 (multiplicity 4)

Values from the calculation:
- Total moment: 0.001 μB per atom
- DFT total energy: -8.666 eV/atom



# 18
This record from the Alexandria database describes a relaxed structure of Pm8Dy2Y3. The functional is PBE.

Cell lengths 6.1670, 6.7993, 12.0413 Å; angles 87.12, 75.77, 63.86 degrees
Space group P-1 (No. 2)
Symmetry-distinct sites (fractional):
Pm 0.1153 0.0908 0.3274 (multiplicity 2)
Pm 0.2508 0.3767 0.7369 (multiplicity 2)
Pm 0.2733 0.6857 0.1155 (multiplicity 2)
Pm 0.3501 0.8354 0.8025 (multiplicity 2)
Dy 0.2286 0.5679 0.4261 (multiplicity 2)
Y 0.1902 0.2260 0.0342 (multiplicity 2)
Y 0.5000 0.0000 0.5000 (multiplicity 1)

Values from the calculation:
- Relative energy among the computed polymorphs: 0.00 eV/f.u.
- Total moment: 0.000 μB per atom
- DFT total energy: -5.059 eV/atom



# 19
This record from the Alexandria database describes a relaxed structure of KBa2Na3. The functional is PBE.

Cell lengths 4.4455, 4.4455, 15.8088 Å; angles 90.00, 90.00, 90.00 degrees
Space group P4/mmm (No. 123)
Symmetry-distinct sites (fractional):
K 0.0000 0.0000 0.0000 (multiplicity 1)
Ba 0.0000 0.0000 0.3366 (multiplicity 2)
Na 0.5000 0.5000 0.1699 (multiplicity 2)
Na 0.5000 0.5000 0.5000 (multiplicity 1)

Values from the calculation:
- Total moment: 0.000 μB per atom
- DFT total energy: -1.467 eV/atom



# 20
This record from the Alexandria database describes a relaxed structure of SrGe2RuPt. The functional is PBE.

Cell lengths 4.2466, 4.2466, 10.9176 Å; angles 90.00, 90.00, 90.00 degrees
Space group I-4m2 (No. 119)
Symmetry-distinct sites (fractional):
Sr 0.0000 0.0000 0.0000 (multiplicity 2)
Ge 0.0000 0.0000 0.3707 (multiplicity 4)
Ru 0.0000 0.5000 0.7500 (multiplicity 2)
Pt 0.0000 0.5000 0.2500 (multiplicity 2)

Values from the calculation:
- Total moment: 0.000 μB per atom
- DFT total energy: -5.915 eV/atom



# 21
This record from the Alexandria database describes a relaxed structure of TbTmAgOs. The functional is PBE.

Cell lengths 6.9677, 6.9677, 6.9677 Å; angles 90.00, 90.00, 90.00 degrees
Space group F-43m (No. 216)
Symmetry-distinct sites (fractional):
Tb 0.0000 0.0000 0.0000 (multiplicity 4)
Tm 0.0000 0.0000 0.5000 (multiplicity 4)
Ag 0.2500 0.2500 0.2500 (multiplicity 4)
Os 0.2500 0.2500 0.7500 (multiplicity 4)

Values from the calculation:
- Relative energy among the computed polymorphs: 0.18 eV/f.u.
- Total moment: 0.000 μB per atom
- DFT total energy: -6.087 eV/atom



# 22
This record from the Alexandria database describes a relaxed structure of Mg2InH. The functional is PBE.

Cell lengths 3.2644, 3.2644, 23.7076 Å; angles 90.00, 90.00, 120.00 degrees
Space group R3m (No. 160, hexagonal axes)
Symmetry-distinct sites (fractional):
Mg 0.0000 0.0000 0.0000 (multiplicity 3)
Mg 0.0000 0.0000 0.2150 (multiplicity 3)
In 0.0000 0.0000 0.4409 (multiplicity 3)
H 0.0000 0.0000 0.6352 (multiplicity 3)

Values from the calculation:
- Relative energy among the computed polymorphs: 0.49 eV/f.u.
- Total moment: 0.000 μB per atom
- DFT total energy: -2.278 eV/atom



# 23
This record from the Alexandria database describes a relaxed structure of Mg2In2Ru. The functional is PBE.

Cell lengths 7.2003, 7.2003, 4.0293 Å; angles 90.00, 90.00, 90.00 degrees
Space group P4/mbm (No. 127)
Symmetry-distinct sites (fractional):
Mg 0.1651 0.3349 0.0000 (multiplicity 4)
In 0.1450 0.6450 0.5000 (multiplicity 4)
Ru 0.0000 0.0000 0.5000 (multiplicity 2)

Values from the calculation:
- Total moment: 0.000 μB per atom
- DFT total energy: -3.379 eV/atom



# 24
This record from the Alexandria database describes a relaxed structure of MnS2N2. The functional is PBE.

Cell lengths 3.3904, 3.3904, 6.9115 Å; angles 90.00, 90.00, 90.00 degrees
Space group P4/mmm (No. 123)
Symmetry-distinct sites (fractional):
Mn 0.0000 0.0000 0.0000 (multiplicity 1)
S 0.5000 0.5000 0.0000 (multiplicity 1)
S 0.5000 0.5000 0.5000 (multiplicity 1)
N 0.0000 0.5000 0.5000 (multiplicity 2)

Values from the calculation:
- Relative energy among the computed polymorphs: 7.24 eV/f.u.
- Total moment: 0.908 μB per atom
- DFT total energy: -5.679 eV/atom



# 25
This record from the Alexandria database describes a relaxed structure of GaAgSn. The functional is PBE.

Cell lengths 4.0889, 4.0889, 7.6843 Å; angles 90.00, 90.00, 90.00 degrees
Space group P4/nmm (No. 129, origin choice 2)
Symmetry-distinct sites (fractional):
Ga 0.2500 0.7500 0.0000 (multiplicity 2)
Ag 0.2500 0.2500 0.2490 (multiplicity 2)
Sn 0.2500 0.2500 0.6238 (multiplicity 2)

Values from the calculation:
- Total moment: 0.000 μB per atom
- DFT total energy: -3.261 eV/atom